DFT (PBE) results for Ac5GeAu4 after structural relaxation.

```
Ac5GeAu4
1.0
3.925 0.000 0.000
0.000 3.925 0.000
0.000 0.000 19.389
Ac Au Ge
5 4 1
Direct
0.500 0.500 0.701
0.500 0.500 0.500
0.500 0.500 0.902
0.500 0.500 0.098
0.500 0.500 0.299
0.000 0.000 0.800
0.000 0.000 0.400
0.000 0.000 0.200
0.000 0.000 0.600
0.000 0.000 0.000
```

## Properties
Uncorrected energy in Ry/atom: -0.33496
Space-group type: P4/mmm, No. 123
Formation energy from the elements in eV per atom: -0.73